Entry 1
BaYAu3 | PBE | optimized geometry

Cell: 5.6979 5.6979 5.6979 Å, 90.00 90.00 90.00°
Atoms (fractional coordinates):
Au (0.5000, 0.0000, 0.0000)
Au (0.0000, 0.5000, 0.0000)
Au (0.0000, 0.0000, 0.5000)
Ba (0.0000, 0.0000, 0.0000)
Y (0.5000, 0.5000, 0.5000)

Results
The calculated volume comes out at 184.99 Å³ per cell.


Entry 2
BaYAu3 | PBE | optimized geometry

Cell: 5.4944 5.4944 5.4944 Å, 90.00 90.00 90.00°
Atoms (fractional coordinates):
Au (0.0000, 0.5000, 0.0000)
Au (0.5000, 0.0000, 0.0000)
Au (0.0000, 0.0000, 0.5000)
Y (0.0000, 0.0000, 0.0000)
Ba (0.5000, 0.5000, 0.5000)

Results
The calculated volume comes out at 165.87 Å³ per cell.


The energy of each structure relative to the most stable one, in meV per atom, is as follows: entry 1 849; entry 2 0.


Entry 1
Ba3ZnAu | PBE | optimized geometry

Cell: 4.5397 8.7554 10.9450 Å, 105.92 90.00 90.00°
Atoms (fractional coordinates):
Ba (0.2500, 0.8659, 0.7338)
Ba (0.2500, 0.7115, 0.0528)
Ba (0.7500, 0.1341, 0.2662)
Ba (0.7500, 0.2885, 0.9472)
Ba (0.7500, 0.6436, 0.3743)
Ba (0.2500, 0.3564, 0.6257)
Au (0.2500, 0.3958, 0.1856)
Au (0.7500, 0.6042, 0.8144)
Zn (0.2500, 0.9655, 0.4383)
Zn (0.7500, 0.0345, 0.5617)

Results
The calculated volume comes out at 418.34 Å³ per cell.


Entry 2
Ba3ZnAu | PBE | optimized geometry

Cell: 6.3779 6.3779 6.3779 Å, 90.00 90.00 90.00°
Atoms (fractional coordinates):
Ba (0.0000, 0.0000, 0.5000)
Ba (0.5000, 0.0000, 0.0000)
Ba (0.0000, 0.5000, 0.0000)
Au (0.0000, 0.0000, 0.0000)
Zn (0.5000, 0.5000, 0.5000)

Results
The calculated volume comes out at 259.44 Å³ per cell.


The energy of each structure relative to the most stable one, in meV per atom, is as follows: entry 1 0; entry 2 220.


Entry 1
Ba8Zn2Au | PBE | optimized geometry

Cell: 5.8718 8.1134 11.0393 Å, 104.07 105.42 90.00°
Atoms (fractional coordinates):
Zn (0.1888, 0.7251, 0.3776)
Zn (0.8112, 0.2749, 0.6224)
Ba (0.9633, 0.1965, 0.9266)
Ba (0.6637, 0.9708, 0.3275)
Ba (0.5908, 0.4263, 0.1816)
Ba (0.3363, 0.0292, 0.6725)
Ba (0.4092, 0.5737, 0.8184)
Ba (0.2109, 0.3260, 0.4219)
Ba (0.7891, 0.6740, 0.5781)
Ba (0.0367, 0.8035, 0.0734)
Au (0.5000, 0.0000, 0.0000)

Results
The calculated volume comes out at 490.59 Å³ per cell.


Entry 2
Ba8Zn2Au | PBE | optimized geometry

Cell: 4.5938 11.0859 11.1983 Å, 93.86 101.84 90.00°
Atoms (fractional coordinates):
Ba (0.6518, 0.9693, 0.3036)
Ba (0.4015, 0.4582, 0.8030)
Ba (0.0095, 0.2072, 0.0189)
Ba (0.3482, 0.0307, 0.6964)
Ba (0.2229, 0.3172, 0.4459)
Ba (0.9905, 0.7928, 0.9811)
Ba (0.7771, 0.6828, 0.5541)
Ba (0.5985, 0.5418, 0.1970)
Au (0.5000, 0.0000, 0.0000)
Zn (0.1661, 0.7386, 0.3323)
Zn (0.8339, 0.2614, 0.6677)

Results
The calculated volume comes out at 556.84 Å³ per cell.


The energy of each structure relative to the most stable one, in meV per atom, is as follows: entry 1 24; entry 2 0.


Entry 1
Ba3Zn4Au4 | PBE | optimized geometry

Cell: 4.6864 4.5909 13.9576 Å, 99.47 99.66 90.00°
Atoms (fractional coordinates):
Zn (0.8988, 0.3988, 0.7975)
Zn (0.7505, 0.7505, 0.5009)
Zn (0.1012, 0.6012, 0.2025)
Zn (0.2495, 0.2495, 0.4991)
Au (0.4461, 0.4461, 0.8922)
Au (0.1998, 0.6998, 0.3995)
Au (0.8002, 0.3002, 0.6005)
Au (0.5539, 0.5539, 0.1078)
Ba (0.3498, 0.8498, 0.6996)
Ba (0.6502, 0.1502, 0.3004)
Ba (0.0000, 0.0000, 0.0000)

Results
The calculated volume comes out at 291.89 Å³ per cell.


Entry 2
Ba3Zn4Au4 | PBE | optimized geometry

Cell: 4.7261 4.7180 13.5963 Å, 79.52 80.04 89.76°
Atoms (fractional coordinates):
Au (0.7561, 0.7471, 0.4980)
Au (0.4015, 0.9013, 0.2007)
Au (0.5985, 0.0987, 0.7993)
Au (0.2440, 0.2530, 0.5020)
Ba (0.1512, 0.6491, 0.6960)
Ba (0.8488, 0.3509, 0.3040)
Ba (0.0000, 0.0000, 0.0000)
Zn (0.3023, 0.8026, 0.4046)
Zn (0.6977, 0.1974, 0.5954)
Zn (0.5496, 0.5482, 0.8989)
Zn (0.4505, 0.4518, 0.1011)

Results
The calculated volume comes out at 293.49 Å³ per cell.


The energy of each structure relative to the most stable one, in meV per atom, is as follows: entry 1 0; entry 2 31.


Entry 1
Ba4ZnAu2 | PBE | optimized geometry

Cell: 8.3207 8.3208 8.9018 Å, 105.28 105.28 75.86°
Atoms (fractional coordinates):
Au (0.3385, 0.3384, 0.1953)
Au (0.9201, 0.4430, 0.6171)
Au (0.4430, 0.9201, 0.6170)
Au (0.3390, 0.3390, 0.6985)
Zn (0.8260, 0.8259, 0.6915)
Zn (0.8375, 0.8375, 0.1930)
Ba (0.1403, 0.6303, 0.9703)
Ba (0.1507, 0.6382, 0.4752)
Ba (0.1271, 0.1271, 0.3480)
Ba (0.1221, 0.1220, 0.8287)
Ba (0.6201, 0.6201, 0.3381)
Ba (0.6171, 0.6172, 0.8318)
Ba (0.6382, 0.1507, 0.4752)
Ba (0.6303, 0.1404, 0.9702)

Results
The calculated volume comes out at 563.30 Å³ per cell.


Entry 2
Ba4ZnAu2 | PBE | optimized geometry

Cell: 6.3772 6.3772 9.1879 Å, 69.69 69.69 90.00°
Atoms (fractional coordinates):
Ba (0.5000, 0.0000, 0.0000)
Ba (0.0000, 0.5000, 0.0000)
Ba (0.7878, 0.7878, 0.4243)
Ba (0.2122, 0.2122, 0.5757)
Au (0.4112, 0.4112, 0.1776)
Au (0.5888, 0.5888, 0.8224)
Zn (0.0000, 0.0000, 0.0000)

Results
The calculated volume comes out at 325.56 Å³ per cell.


The energy of each structure relative to the most stable one, in meV per atom, is as follows: entry 1 0; entry 2 184.


Entry 1
Ba2Zn3Au2 | PBE | optimized geometry

Cell: 4.3330 6.3410 7.9902 Å, 116.81 90.00 109.98°
Atoms (fractional coordinates):
Au (0.8631, 0.7263, 0.7926)
Au (0.1369, 0.2737, 0.2074)
Zn (0.3473, 0.6945, 0.5727)
Zn (0.6527, 0.3055, 0.4273)
Zn (0.5000, 0.0000, 0.0000)
Ba (0.1321, 0.2642, 0.7573)
Ba (0.8679, 0.7358, 0.2427)

Results
The calculated volume comes out at 181.00 Å³ per cell.


Entry 2
Ba2Zn3Au2 | PBE | optimized geometry

Cell: 4.4724 7.9695 10.9640 Å, 90.00 101.77 90.00°
Atoms (fractional coordinates):
Zn (0.7904, 0.2500, 0.5809)
Zn (0.5554, 0.4119, 0.1108)
Zn (0.2096, 0.7500, 0.4191)
Zn (0.4446, 0.5881, 0.8892)
Zn (0.5554, 0.0881, 0.1108)
Zn (0.4446, 0.9119, 0.8892)
Ba (0.8260, 0.7500, 0.6520)
Ba (0.9434, 0.2500, 0.8868)
Ba (0.1740, 0.2500, 0.3480)
Ba (0.0566, 0.7500, 0.1132)
Au (0.6654, 0.9299, 0.3309)
Au (0.3346, 0.4299, 0.6691)
Au (0.6654, 0.5701, 0.3309)
Au (0.3346, 0.0701, 0.6691)

Results
The calculated volume comes out at 382.57 Å³ per cell.


The energy of each structure relative to the most stable one, in meV per atom, is as follows: entry 1 0; entry 2 22.


Entry 1
BaZrAu2 | PBE | optimized geometry

Cell: 6.1165 6.1165 6.1165 Å, 138.00 138.00 60.91°
Last column: magnetic moment on the atom in μB.
Atoms (fractional coordinates):
Ba (0.5000, 0.5000, 0.0000)  0.07
Au (0.2500, 0.7500, 0.5000)  0.04
Au (0.0000, 0.0000, 0.0000)  0.03
Zr (0.7500, 0.2500, 0.5000)  0.56

Results
The calculated volume comes out at 101.35 Å³ per cell.


Entry 2
BaZrAu2 | PBE | optimized geometry

Cell: 7.9738 7.9738 6.8671 Å, 54.51 54.51 90.00°
Atoms (fractional coordinates):
Ba (0.0000, 0.0000, 0.0000)
Ba (0.7500, 0.2500, 0.5000)
Au (0.1840, 0.6250, 0.2500)
Au (0.5660, 0.1250, 0.2500)
Au (0.8750, 0.8160, 0.7500)
Au (0.3750, 0.4340, 0.7500)
Zr (0.2500, 0.7500, 0.5000)
Zr (0.5000, 0.5000, 0.0000)

Results
The calculated volume comes out at 249.24 Å³ per cell.


Entry 3
BaZrAu2 | PBE | optimized geometry

Cell: 3.5799 3.6121 8.6619 Å, 65.38 90.00 90.00°
Atoms (fractional coordinates):
Zr (0.5000, 0.7500, 0.7500)
Ba (0.5000, 0.2500, 0.2500)
Au (0.0000, 0.0621, 0.9378)
Au (0.0000, 0.4379, 0.5622)

Results
The calculated volume comes out at 101.83 Å³ per cell.


The energy of each structure relative to the most stable one, in meV per atom, is as follows: entry 1 459; entry 2 357; entry 3 0.


Entry 1
BaZrAu2 | PBE | optimized geometry

Cell: 4.7983 4.7983 6.6277 Å, 73.14 73.14 59.69°
Last column: magnetic moment on the atom in μB.
Atoms (fractional coordinates):
Au (0.6827, 0.6827, 0.9136)  -0.01
Au (0.9733, 0.9733, 0.0696)  0.00
Ba (0.5304, 0.5304, 0.4774)  0.05
Zr (0.3137, 0.3137, 0.0394)  0.26

Results
The calculated volume comes out at 124.16 Å³ per cell.


Entry 2
BaZrAu2 | PBE | optimized geometry

Cell: 6.4022 6.4022 6.4022 Å, 148.09 132.72 58.18°
Atoms (fractional coordinates):
Ba (0.5040, 0.5040, 0.0000)
Au (0.0023, 0.0023, 0.0000)
Au (0.7756, 0.2756, 0.5000)
Zr (0.2181, 0.7181, 0.5000)

Results
The calculated volume comes out at 101.11 Å³ per cell.


The energy of each structure relative to the most stable one, in meV per atom, is as follows: entry 1 0; entry 2 217.


Entry 1
BeAu5 | PBE | optimized geometry

Cell: 5.0585 5.0585 4.5847 Å, 90.00 90.00 120.00°
Atoms (fractional coordinates):
Au (0.3333, 0.6667, 0.5000)
Au (0.0000, 0.6825, 0.0000)
Au (0.6825, 0.0000, 0.0000)
Au (0.3175, 0.3175, 0.0000)
Au (0.6667, 0.3333, 0.5000)
Be (0.0000, 0.0000, 0.5000)

Results
The calculated volume comes out at 101.60 Å³ per cell.


Entry 2
BeAu5 | PBE | optimized geometry

Cell: 2.9235 2.9235 11.5422 Å, 90.00 90.00 90.00°
Atoms (fractional coordinates):
Au (0.0000, 0.0000, 0.8732)
Au (0.0000, 0.0000, 0.5000)
Au (0.5000, 0.5000, 0.6842)
Au (0.0000, 0.0000, 0.1268)
Au (0.5000, 0.5000, 0.3158)
Be (0.5000, 0.5000, 0.0000)

Results
The calculated volume comes out at 98.65 Å³ per cell.


The energy of each structure relative to the most stable one, in meV per atom, is as follows: entry 1 144; entry 2 0.


Entry 1
BeAu5 | PBE | optimized geometry

Cell: 5.4091 5.4091 4.7855 Å, 90.00 90.00 120.00°
Atoms (fractional coordinates):
Au (0.3333, 0.6667, 0.0000)
Au (0.0000, 0.5000, 0.5000)
Au (0.6667, 0.3333, 0.0000)
Au (0.5000, 0.0000, 0.5000)
Au (0.5000, 0.5000, 0.5000)
Be (0.0000, 0.0000, 0.0000)

Results
The calculated volume comes out at 121.26 Å³ per cell.


Entry 2
BeAu5 | PBE | optimized geometry

Cell: 5.6642 5.6642 7.7050 Å, 111.57 111.57 90.00°
Atoms (fractional coordinates):
Au (0.8263, 0.9675, 0.2938)
Au (0.5325, 0.6737, 0.7062)
Au (0.3263, 0.8263, 0.2938)
Au (0.0000, 0.0000, 0.0000)
Au (0.4675, 0.3263, 0.2938)
Au (0.0325, 0.5325, 0.7062)
Au (0.9675, 0.4675, 0.2938)
Au (0.6737, 0.1737, 0.7062)
Au (0.5000, 0.5000, 0.0000)
Au (0.1737, 0.0325, 0.7062)
Be (0.7500, 0.7500, 0.5000)
Be (0.2500, 0.2500, 0.5000)

Results
The calculated volume comes out at 211.18 Å³ per cell.


The energy of each structure relative to the most stable one, in meV per atom, is as follows: entry 1 443; entry 2 0.


Entry 1
BeAu5 | PBE | optimized geometry

Cell: 7.2880 7.2880 4.6501 Å, 90.00 90.00 155.26°
Atoms (fractional coordinates):
Au (0.3306, 0.6694, 0.5000)
Au (0.6694, 0.3306, 0.5000)
Au (0.0000, 0.0000, 0.5000)
Au (0.8702, 0.1298, 0.0000)
Au (0.1298, 0.8702, 0.0000)
Be (0.5000, 0.5000, 0.0000)

Results
The calculated volume comes out at 103.36 Å³ per cell.


Entry 2
BeAu5 | PBE | optimized geometry

Cell: 5.3506 5.3506 7.3358 Å, 66.49 66.49 31.53°
Atoms (fractional coordinates):
Au (0.3204, 0.3204, 0.2422)
Au (0.0689, 0.0689, 0.9790)
Au (0.0125, 0.0125, 0.4138)
Au (0.6949, 0.6949, 0.6108)
Au (0.3767, 0.3767, 0.8083)
Be (0.6933, 0.6933, 0.1127)

Results
The calculated volume comes out at 99.94 Å³ per cell.


The energy of each structure relative to the most stable one, in meV per atom, is as follows: entry 1 67; entry 2 0.